Entry 1:
Here is a relaxed Ta2CdAg crystal from the Alexandria database. Energies are from PBE-GGA.

Cell: 5.056 5.056 5.403 Å, 99.12 99.12 33.44°
Sites, in units of the cell vectors:
Ta  0.000  0.000  0.000
Ta  0.737  0.737  0.205
Cd  0.495  0.495  0.494
Ag  0.249  0.249  0.720

Results
DFT formation energy   0.352 eV per atom

=====

Entry 2:
Here is a relaxed LiTiTe2I crystal from the Alexandria database. Energies are from PBE-GGA.

Cell: 5.014 5.014 5.460 Å, 90.00 90.00 90.00°
Sites, in units of the cell vectors:
Li  0.000  0.000  0.000
Ti  0.500  0.500  0.500
Te  0.000  0.500  0.000
Te  0.500  0.000  0.000
I  0.000  0.000  0.500

Results
Energy relative to the elements, uncorrected   345 meV/atom

=====

Entry 3:
Here is a relaxed BeNb2Cu crystal from the Alexandria database. Energies are from PBE-GGA.

Cell: 5.526 5.526 5.526 Å, 102.17 102.17 125.34°
Sites, in units of the cell vectors:
Be  0.000  0.000  0.000
Be  0.750  0.250  0.500
Nb  0.117  0.625  0.992
Nb  0.375  0.367  0.492
Nb  0.633  0.125  0.008
Nb  0.875  0.883  0.508
Cu  0.250  0.750  0.500
Cu  0.500  0.500  0.000

Results
DFT formation energy   0.437 eV per atom

=====

Entry 4:
Here is a relaxed LaCoHg2 crystal from the Alexandria database. Energies are from PBE-GGA.

Cell: 4.269 4.269 5.089 Å, 90.00 90.00 90.00°
Sites, in units of the cell vectors:
La  0.000  0.000  0.000
Co  0.500  0.500  0.000
Hg  0.000  0.500  0.500
Hg  0.500  0.000  0.500

Results
DFT formation energy   0.057 eV per atom

=====

Entry 5:
Here is a relaxed Ni7IrPt2 crystal from the Alexandria database. Energies are from PBE-GGA.

Cell: 5.919 5.919 7.188 Å, 115.95 115.95 35.61°
Sites, in units of the cell vectors:
Ni  0.000  0.000  0.000
Ni  0.081  0.081  0.767
Ni  0.169  0.169  0.502
Ni  0.410  0.410  0.765
Ni  0.590  0.590  0.235
Ni  0.831  0.831  0.498
Ni  0.919  0.919  0.233
Ir  0.500  0.500  0.500
Pt  0.245  0.245  0.179
Pt  0.755  0.755  0.821

Results
DFT formation energy   0.166 eV per atom

=====

Entry 6:
Here is a relaxed BaRhBr2 crystal from the Alexandria database. Energies are from PBE-GGA.

Cell: 3.796 3.796 8.205 Å, 90.00 90.00 90.00°
Sites, in units of the cell vectors:
Ba  0.000  0.000  0.000
Rh  0.500  0.500  0.685
Br  0.000  0.000  0.626
Br  0.500  0.500  0.222

Results
Energy relative to the elements, uncorrected   -674 meV/atom

=====

Entry 7:
Here is a relaxed VGe3C crystal from the Alexandria database. Energies are from PBE-GGA.

Cell: 4.736 4.736 4.736 Å, 90.00 90.00 90.00°
Sites, in units of the cell vectors:
V  0.000  0.000  0.000
Ge  0.000  0.000  0.500
Ge  0.000  0.500  0.000
Ge  0.500  0.000  0.000
C  0.500  0.500  0.500

Results
DFT formation energy   1.547 eV per atom

=====

Entry 8:
Here is a relaxed Sr2NiSb crystal from the Alexandria database. Energies are from PBE-GGA.

Cell: 6.953 6.953 6.953 Å, 148.07 137.99 53.73°
Sites, in units of the cell vectors:
Sr  0.000  0.000  0.000
Sr  0.711  0.211  0.500
Ni  0.256  0.756  0.500
Sb  0.396  0.396  0.000

Results
Energy relative to the elements, uncorrected   -359 meV/atom

=====

Entry 9:
Here is a relaxed Ta5ReMo2 crystal from the Alexandria database. Energies are from PBE-GGA.

Cell: 5.522 10.841 4.616 Å, 90.00 90.00 90.00°
Sites, in units of the cell vectors:
Ta  0.000  0.000  0.000
Ta  0.149  0.259  0.000
Ta  0.163  0.616  0.500
Ta  0.337  0.116  0.500
Ta  0.351  0.759  0.000
Ta  0.500  0.500  0.000
Ta  0.649  0.241  0.000
Ta  0.663  0.884  0.500
Ta  0.837  0.384  0.500
Ta  0.851  0.741  0.000
Re  0.000  0.500  0.000
Re  0.500  0.000  0.000
Mo  0.166  0.875  0.500
Mo  0.334  0.375  0.500
Mo  0.666  0.625  0.500
Mo  0.834  0.125  0.500

Results
DFT formation energy   -0.121 eV per atom

=====

Entry 10:
Here is a relaxed CdGa2Co2 crystal from the Alexandria database. Energies are from PBE-GGA.

Cell: 7.087 7.087 2.780 Å, 90.00 90.00 90.00°
Sites, in units of the cell vectors:
Cd  0.000  0.000  0.000
Cd  0.500  0.500  0.000
Ga  0.135  0.365  0.000
Ga  0.365  0.865  0.000
Ga  0.635  0.135  0.000
Ga  0.865  0.635  0.000
Co  0.159  0.659  0.500
Co  0.341  0.159  0.500
Co  0.659  0.841  0.500
Co  0.841  0.341  0.500

Results
DFT formation energy   -0.079 eV per atom

=====

Entry 11:
Here is a relaxed PmCd2Cu2 crystal from the Alexandria database. Energies are from PBE-GGA.

Cell: 12.379 12.379 12.379 Å, 160.96 160.33 27.51°
Sites, in units of the cell vectors:
Pm  0.327  0.077  0.250
Pm  0.673  0.923  0.750
Cd  0.051  0.801  0.250
Cd  0.448  0.698  0.750
Cd  0.552  0.302  0.250
Cd  0.949  0.199  0.750
Cu  0.125  0.375  0.750
Cu  0.225  0.475  0.750
Cu  0.775  0.525  0.250
Cu  0.875  0.625  0.250

Results
DFT formation energy   -0.145 eV per atom

=====

Entry 12:
Here is a relaxed InPb5 crystal from the Alexandria database. Energies are from PBE-GGA.

Cell: 6.559 6.559 6.559 Å, 60.00 60.00 60.00°
Sites, in units of the cell vectors:
In  0.000  0.000  0.000
Pb  0.375  0.375  0.375
Pb  0.375  0.375  0.876
Pb  0.375  0.876  0.375
Pb  0.750  0.750  0.750
Pb  0.876  0.375  0.375

Results
DFT formation energy   0.140 eV per atom

=====

Entry 13:
Here is a relaxed AcLa4Nd4 crystal from the Alexandria database. Energies are from PBE-GGA.

Cell: 6.481 9.903 11.226 Å, 75.46 73.26 83.91°
Sites, in units of the cell vectors:
Ac  0.053  0.083  0.196
Ac  0.947  0.917  0.804
La  0.166  0.253  0.581
La  0.277  0.418  0.971
La  0.390  0.087  0.859
La  0.498  0.255  0.250
La  0.502  0.745  0.750
La  0.610  0.913  0.141
La  0.723  0.582  0.029
La  0.834  0.747  0.419
Nd  0.058  0.580  0.692
Nd  0.172  0.745  0.086
Nd  0.283  0.916  0.472
Nd  0.389  0.584  0.363
Nd  0.611  0.416  0.637
Nd  0.717  0.084  0.528
Nd  0.828  0.255  0.914
Nd  0.942  0.420  0.308

Results
DFT formation energy   0.020 eV per atom

=====

Entry 14:
Here is a relaxed NaTiBi3 crystal from the Alexandria database. Energies are from PBE-GGA.

Cell: 5.478 5.478 5.478 Å, 90.00 90.00 90.00°
Sites, in units of the cell vectors:
Na  0.000  0.000  0.000
Ti  0.500  0.500  0.500
Bi  0.000  0.500  0.500
Bi  0.500  0.000  0.500
Bi  0.500  0.500  0.000

Results
DFT formation energy   -0.006 eV per atom

=====

Entry 15:
Here is a relaxed Ga2HgBr crystal from the Alexandria database. Energies are from PBE-GGA.

Cell: 3.844 3.844 6.794 Å, 90.00 90.00 90.00°
Sites, in units of the cell vectors:
Ga  0.000  0.000  0.228
Ga  0.000  0.000  0.772
Hg  0.500  0.500  0.000
Br  0.500  0.500  0.500

Results
Energy relative to the elements, uncorrected   -101 meV/atom

=====

Entry 16:
Here is a relaxed B2WI crystal from the Alexandria database. Energies are from PBE-GGA.

Cell: 6.361 6.361 6.361 Å, 128.94 128.94 75.10°
Sites, in units of the cell vectors:
B  0.058  0.625  0.933
B  0.375  0.308  0.433
B  0.692  0.125  0.067
B  0.875  0.942  0.567
W  0.000  0.000  0.000
W  0.750  0.250  0.500
I  0.250  0.750  0.500
I  0.500  0.500  0.000

Results
Energy relative to the elements, uncorrected   1363 meV/atom

=====

Entry 17:
Here is a relaxed BaHgW4 crystal from the Alexandria database. Energies are from PBE-GGA.

Cell: 5.600 5.600 5.600 Å, 60.00 60.00 60.00°
Sites, in units of the cell vectors:
Ba  0.000  0.000  0.000
Hg  0.750  0.750  0.750
W  0.374  0.374  0.374
W  0.374  0.374  0.877
W  0.374  0.877  0.374
W  0.877  0.374  0.374

Results
DFT formation energy   1.069 eV per atom

=====

Entry 18:
Here is a relaxed Tl2Hg6Sb crystal from the Alexandria database. Energies are from PBE-GGA.

Cell: 5.070 11.523 10.067 Å, 90.00 115.09 90.00°
Sites, in units of the cell vectors:
Tl  0.190  0.209  0.191
Tl  0.190  0.291  0.691
Tl  0.810  0.709  0.309
Tl  0.810  0.791  0.809
Hg  0.163  0.642  0.640
Hg  0.163  0.858  0.140
Hg  0.320  0.520  0.337
Hg  0.320  0.980  0.837
Hg  0.472  0.653  0.976
Hg  0.472  0.847  0.476
Hg  0.528  0.153  0.524
Hg  0.528  0.347  0.024
Hg  0.680  0.020  0.163
Hg  0.680  0.480  0.663
Hg  0.837  0.142  0.860
Hg  0.837  0.358  0.360
Sb  0.000  0.000  0.500
Sb  0.000  0.500  0.000

Results
Energy relative to the elements, uncorrected   20 meV/atom

=====

Entry 19:
Here is a relaxed Ti7InRh2 crystal from the Alexandria database. Energies are from PBE-GGA.

Cell: 7.177 7.177 4.656 Å, 90.00 90.00 118.54°
Sites, in units of the cell vectors:
Ti  0.000  0.000  0.000
Ti  0.198  0.434  0.000
Ti  0.242  0.758  0.500
Ti  0.434  0.198  0.000
Ti  0.566  0.802  0.000
Ti  0.758  0.242  0.500
Ti  0.802  0.566  0.000
In  0.500  0.500  0.500
Rh  0.203  0.797  0.000
Rh  0.797  0.203  0.000

Results
DFT formation energy   0.259 eV per atom

=====

Entry 20:
Here is a relaxed SrTmIrO6 crystal from the Alexandria database. Energies are from PBE-GGA.

Cell: 5.529 5.529 10.471 Å, 90.00 90.00 120.00°
Sites, in units of the cell vectors:
Sr  0.000  0.000  0.000
Sr  0.000  0.000  0.500
Tm  0.333  0.667  0.250
Tm  0.667  0.333  0.750
Ir  0.333  0.667  0.750
Ir  0.667  0.333  0.250
O  0.039  0.387  0.646
O  0.039  0.652  0.854
O  0.348  0.387  0.854
O  0.348  0.961  0.646
O  0.387  0.039  0.146
O  0.387  0.348  0.354
O  0.613  0.652  0.646
O  0.613  0.961  0.854
O  0.652  0.039  0.354
O  0.652  0.613  0.146
O  0.961  0.348  0.146
O  0.961  0.613  0.354

Results
Energy relative to the elements, uncorrected   -1934 meV/atom